Cu2HgRu | GGA-PBE | relaxed

Structure (extended XYZ):
```
8
Lattice="10.0078 0.0000 0.0000 0.0000 2.7336 0.0000 -1.8975 0.0000 4.3197" Properties=species:S:1:pos:R:3 pbc="T T T"
Cu 0.0000 0.0000 0.0000
Cu 1.6075 1.3668 1.5249
Cu 5.0039 1.3668 0.0000
Cu 6.6114 0.0000 1.5249
Hg 0.8083 0.0000 3.7158
Hg 5.8122 1.3668 3.7158
Ru 3.8551 0.0000 2.0587
Ru 8.8590 1.3668 2.0587
```

Summary:
**E_tot**: -4.073 eV per atom
**Energy of formation**: 1.5 eV/f.u.
**SG**: Cm (8)

=====

CuHgRu2 | GGA-PBE | relaxed

Structure (extended XYZ):
```
8
Lattice="2.8407 0.0000 0.0000 0.0000 4.4744 0.0000 0.0000 0.0000 9.6145" Properties=species:S:1:pos:R:3 pbc="T T T"
Cu 0.0000 0.0000 0.0000
Cu 1.4204 2.2372 4.8073
Hg 0.0000 0.0000 4.8073
Hg 1.4204 2.2372 0.0000
Ru 0.0000 2.2372 2.6750
Ru 0.0000 2.2372 6.9395
Ru 1.4204 0.0000 2.1323
Ru 1.4204 0.0000 7.4823
```

Summary:
**E_tot**: -5.227 eV per atom
**Energy of formation**: 2.0 eV/f.u.
**SG**: Immm (71)

=====

CuHgRu | GGA-PBE | relaxed

Structure (extended XYZ):
```
6
Lattice="2.9228 0.0000 0.0000 0.0000 2.9228 0.0000 0.0000 0.0000 11.1074" Properties=species:S:1:pos:R:3 pbc="T T T"
Cu 0.0000 0.0000 0.0000
Cu 1.4614 1.4614 5.5537
Hg 0.0000 0.0000 7.4636
Hg 1.4614 1.4614 1.9099
Ru 0.0000 0.0000 3.9649
Ru 1.4614 1.4614 9.5186
```

Summary:
**E_tot**: -4.108 eV per atom
**Energy of formation**: 1.3 eV/f.u.
**SG**: I4mm (107)

=====

Cu2HgRu | GGA-PBE | relaxed

Structure (extended XYZ):
```
4
Lattice="4.0263 0.0000 0.0000 0.0000 4.0263 0.0000 0.0000 0.0000 3.6317" Properties=species:S:1:pos:R:3 pbc="T T T"
Cu 0.0000 2.0132 0.0000
Cu 2.0132 0.0000 0.0000
Hg 0.0000 0.0000 1.8159
Ru 2.0132 2.0132 1.8159
```

Summary:
**E_tot**: -4.092 eV per atom
**Energy of formation**: 1.4 eV/f.u.
**SG**: P4/mmm (123)

=====

Cu2HgRu | GGA-PBE | relaxed

Structure (extended XYZ):
```
8
Lattice="3.9030 0.0000 0.0000 0.0000 3.9030 0.0000 0.0000 0.0000 7.8160" Properties=species:S:1:pos:R:3 pbc="T T T"
Cu 0.0000 0.0000 0.0000
Cu 0.0000 1.9515 1.9540
Cu 1.9515 0.0000 5.8620
Cu 1.9515 1.9515 3.9080
Hg 0.0000 1.9515 5.8620
Hg 1.9515 0.0000 1.9540
Ru 0.0000 0.0000 3.9080
Ru 1.9515 1.9515 0.0000
```

Summary:
**E_tot**: -4.025 eV per atom
**Energy of formation**: 1.7 eV/f.u.
**SG**: I-4m2 (119)

=====

CuHgRu2 | GGA-PBE | relaxed

Structure (extended XYZ):
```
8
Lattice="9.2709 0.0000 0.0000 0.0000 2.8167 0.0000 -0.9683 0.0000 4.6727" Properties=species:S:1:pos:R:3 pbc="T T T"
Cu 0.0000 0.0000 0.0000
Cu 4.6354 1.4083 0.0000
Hg -0.4841 1.4083 2.3363
Hg 4.1513 0.0000 2.3363
Ru 2.0136 1.4083 1.0355
Ru 1.6535 0.0000 3.6372
Ru 6.6491 0.0000 1.0355
Ru 6.2890 1.4083 3.6372
```

Summary:
**E_tot**: -5.252 eV per atom
**Energy of formation**: 1.9 eV/f.u.
**SG**: C2/m (12)